A plane-wave DFT calculation with PBE was carried out for crystalline SrPuIr at its relaxed geometry.

Structure (CIF):
```
data_SrPuIr
_symmetry_space_group_name_H-M 'P 3 m 1'
_symmetry_Int_Tables_number 156
_symmetry_space_group_name_Hall 'P 3 -2"'
_cell_length_a 4.1100
_cell_length_b 4.1100
_cell_length_c 6.5520
_cell_angle_alpha 90.00
_cell_angle_beta 90.00
_cell_angle_gamma 120.00
loop_
_atom_site_label
_atom_site_fract_x
_atom_site_fract_y
_atom_site_fract_z
_atom_site_occupancy
Sr1 0.0000 0.0000 0.0000 1
Pu1 0.6667 0.3333 0.4902 1
Ir1 0.3333 0.6667 0.2975 1
```

**Formation energy**: -129 meV/atom
**DOS(E_F)**: 6.97 states/eV/cell
**Volume**: 31.95 Å³ per atom
**Energy above the most stable polymorph in this dataset**: 34 meV per atom